[1]
Ac3Pr8Sm3 after structural relaxation, computed with PBE.

Properties
Total moment: 0.000 Bohr magnetons per cell
Calculated formation energy: 13 kJ/mol of atoms
E_tot: -62.78 eV/cell
Fermi-level density of states: 20.8 states/eV/f.u.

```
14
Lattice="-4.572 -3.560 0.478 3.165 -8.168 4.801 -4.567 2.270 8.588" Properties=species:S:1:pos:R:3 pbc="T T T"
Sm 1.965 -6.548 5.389
Sm -3.367 0.651 8.001
Sm -2.286 -1.780 0.239
Pr -1.405 -7.138 4.129
Pr -0.515 -7.794 7.752
Pr -3.910 -8.087 8.469
Pr -4.570 -2.319 9.739
Pr -5.460 -1.664 6.115
Pr -5.776 -5.566 9.384
Pr -0.199 -3.891 4.483
Pr -2.065 -1.371 5.398
Ac -2.987 -4.729 6.934
Ac -2.093 -5.388 10.577
Ac -3.882 -4.069 3.290
```


[2]
U6Re after structural relaxation, computed with PBE.

Properties
Total moment: 0.000 Bohr magnetons per cell
Calculated formation energy: 162 kJ/mol of atoms
E_tot: -68.43 eV/cell
Fermi-level density of states: 27.2 states/eV/f.u.

```
7
Lattice="-5.391 1.090 -2.600 2.483 -4.967 -2.485 -0.770 -0.888 5.970" Properties=species:S:1:pos:R:3 pbc="T T T"
U -1.026 -3.402 -1.672
U -0.684 -2.877 2.584
U -2.653 -1.363 2.556
U -2.995 -1.888 -1.701
U 0.129 -3.897 0.471
U -3.808 -0.868 0.413
Re 0.000 0.000 0.000
```


[3]
Th4GaSbTe2 after structural relaxation, computed with PBE.

Properties
Total moment: 0.000 Bohr magnetons per cell
E_tot: -50.13 eV/cell
Fermi-level density of states: 5.3 states/eV/f.u.
Formation energy without anion corrections: -877.4 meV per atom

```
8
Lattice="4.453 0.000 0.000 0.000 7.770 0.152 0.000 -2.696 7.206" Properties=species:S:1:pos:R:3 pbc="T T T"
Th 2.226 3.680 5.628
Th 2.226 1.394 1.730
Th 0.000 5.043 1.726
Th 0.000 0.031 5.632
Ga 2.226 3.885 0.076
Sb 0.000 0.000 0.000
Te 0.000 2.537 3.679
Te 2.226 -1.348 3.603
```


[4]
Rb3NaPb after structural relaxation, computed with PBE.

Properties
Total moment: 2.000 Bohr magnetons per cell
Calculated formation energy: 13 kJ/mol of atoms
E_tot: -7.25 eV/cell
Fermi-level density of states: 2.5 states/eV/f.u.
Distance to the lowest polymorph of the same formula: 0.85 eV/f.u.

```
5
Lattice="-4.219 5.862 -0.737 -5.460 -3.523 3.237 2.256 2.436 6.456" Properties=species:S:1:pos:R:3 pbc="T T T"
Rb 1.128 1.218 3.228
Rb -2.730 -1.761 1.618
Rb -2.109 2.931 -0.369
Pb 0.000 0.000 0.000
Na -3.712 2.387 4.478
```


[5]
HfCuW3 after structural relaxation, computed with PBE.

Properties
Total moment: 0.000 Bohr magnetons per cell
Calculated formation energy: 258 kJ/mol of atoms
E_tot: -39.55 eV/cell
Fermi-level density of states: 6.8 states/eV/f.u.
Distance to the lowest polymorph of the same formula: 5.87 eV/f.u.

```
5
Lattice="-0.945 -2.974 -3.615 4.618 -1.198 -0.221 -0.770 -3.539 3.113" Properties=species:S:1:pos:R:3 pbc="T T T"
Cu 1.452 -3.856 -0.362
W -0.472 -1.487 -1.808
W -0.385 -1.770 1.556
W 2.309 -0.599 -0.110
Hf 0.000 0.000 0.000
```


[6]
KZnBr2Cl after structural relaxation, computed with PBE.

Properties
Total moment: 2.000 Bohr magnetons per cell
E_tot: -7.58 eV/cell
Fermi-level density of states: 6.2 states/eV/f.u.
Distance to the lowest polymorph of the same formula: 5.98 eV/f.u.
Formation energy without anion corrections: -3.9 meV per atom

```
5
Lattice="6.045 0.000 0.000 0.000 10.433 0.000 0.000 0.000 6.045" Properties=species:S:1:pos:R:3 pbc="T T T"
Zn 0.000 5.216 0.000
Br 0.000 0.000 3.023
Br 3.023 0.000 0.000
K 0.000 0.000 0.000
Cl 3.023 5.216 3.023
```


[7]
Sc4Ag2Pb after structural relaxation, computed with PBE.

Properties
Total moment: 0.628 Bohr magnetons per cell
Calculated formation energy: -13 kJ/mol of atoms
E_tot: -35.67 eV/cell
Fermi-level density of states: 9.7 states/eV/f.u.

```
7
Lattice="4.665 0.000 1.457 2.105 4.163 1.457 -0.022 -0.013 8.263" Properties=species:S:1:pos:R:3 pbc="T T T"
Sc 4.116 2.531 3.212
Sc 5.859 3.603 5.830
Sc 2.631 1.618 7.966
Sc 0.889 0.547 5.348
Pb 0.000 0.000 0.000
Ag 5.029 3.093 8.485
Ag 1.719 1.057 2.692
```


[8]
CoBi after structural relaxation, computed with PBE.

Properties
Total moment: 3.696 Bohr magnetons per cell
Calculated formation energy: 47 kJ/mol of atoms
E_tot: -40.01 eV/cell
Fermi-level density of states: 2.5 states/eV/f.u.

```
8
Lattice="6.473 0.000 -0.077 0.000 3.283 0.000 -3.901 0.000 7.817" Properties=species:S:1:pos:R:3 pbc="T T T"
Bi 1.229 0.000 0.192
Bi 0.842 1.641 7.264
Bi -0.721 1.641 4.101
Bi 2.792 0.000 3.355
Co 0.882 1.641 2.170
Co 3.432 1.641 5.664
Co -1.069 0.000 6.079
Co 5.382 0.000 1.755
```


[9]
KHgPt2 after structural relaxation, computed with PBE.

Properties
Total moment: 0.000 Bohr magnetons per cell
Calculated formation energy: 7 kJ/mol of atoms
E_tot: -26.40 eV/cell
Fermi-level density of states: 3.1 states/eV/f.u.

```
8
Lattice="-4.480 2.196 -0.344 -2.213 -4.337 1.140 -2.962 1.162 9.635" Properties=species:S:1:pos:R:3 pbc="T T T"
Pt -6.290 -0.378 2.801
Pt -4.690 1.548 2.269
Pt -4.300 0.913 7.302
Pt -6.296 2.489 7.005
K -3.346 -1.071 0.398
K -4.261 -2.123 5.587
Hg -5.394 1.143 4.844
Hg 0.000 0.000 0.000
```


[10]
BiTeO5 after structural relaxation, computed with PBE.

Properties
Total moment: 0.000 Bohr magnetons per cell
E_tot: -146.75 eV/cell
Fermi-level density of states: 1.2 states/eV/f.u.
Distance to the lowest polymorph of the same formula: 0.02 eV/f.u.
Formation energy without anion corrections: -696.4 meV per atom

```
28
Lattice="-1.305 9.818 3.551 -4.755 0.093 -2.005 -10.109 -3.104 4.867" Properties=species:S:1:pos:R:3 pbc="T T T"
O -5.546 2.330 0.632
O -12.291 6.592 7.397
O -3.337 4.215 2.155
O -14.074 4.293 6.099
O -5.679 6.859 3.648
O -10.557 1.602 5.420
O -9.499 2.919 2.989
O -5.006 -0.584 1.634
O -2.095 2.514 0.315
O -9.040 5.997 3.720
O -6.670 3.888 3.424
O -7.785 -1.898 2.939
O -7.129 0.810 2.693
O -5.612 5.206 0.994
O -11.164 7.391 4.779
O -12.833 2.592 4.258
O -3.879 0.215 -0.984
O -10.490 -0.052 2.765
O -8.384 8.705 3.474
O -10.623 4.477 5.781
Bi -10.199 6.159 7.435
Bi -5.970 0.648 -1.021
Bi -11.429 2.138 2.512
Bi -4.740 4.670 3.901
Te -9.914 7.644 3.296
Te -14.575 3.137 4.661
Te -1.594 3.670 1.752
Te -6.256 -0.837 3.117
```


[11]
VSnH after structural relaxation, computed with PBE.

Properties
Total moment: 1.193 Bohr magnetons per cell
E_tot: -16.42 eV/cell
Fermi-level density of states: 2.8 states/eV/f.u.
Distance to the lowest polymorph of the same formula: 0.00 eV/f.u.

```
3
Lattice="-3.862 0.396 -1.898 -0.984 -2.717 1.437 -0.427 2.845 1.463" Properties=species:S:1:pos:R:3 pbc="T T T"
V -1.442 -0.797 1.129
H -0.644 0.066 -0.316
Sn -3.188 1.255 0.189
```


[12]
Cs2RbScBi2 after structural relaxation, computed with PBE.

Properties
Total moment: 0.000 Bohr magnetons per cell
Calculated formation energy: -49 kJ/mol of atoms
E_tot: -39.61 eV/cell

```
12
Lattice="8.814 0.000 0.000 0.000 7.688 0.000 -4.407 -3.844 8.691" Properties=species:S:1:pos:R:3 pbc="T T T"
Sc 4.407 1.922 0.000
Sc 4.407 5.766 0.000
Bi 1.640 0.000 7.082
Bi 2.767 3.844 1.609
Bi -1.640 3.844 7.082
Bi 6.047 0.000 1.609
Cs 6.406 3.844 3.130
Cs 1.999 3.844 5.561
Cs -1.999 0.000 5.561
Cs 2.408 0.000 3.130
Rb 0.000 5.766 0.000
Rb 0.000 1.922 0.000
```


Number 1 is which compound?
Ac3Pr8Sm3


Among the records above, which one has the highest total moment?
CoBi


total moment of number 6 (KZnBr2Cl)?
2.000 Bohr magnetons per cell